# MnTl2MoF (PBEsol, relaxed)
# Raw formation energy: 442 meV per atom
# Mass density: 8.90 g cm⁻³
# Volume: 21.59 Å³/atom
data_MnTl2MoF
_chemical_formula_sum 'Mn1 Tl2 Mo1 F1'
_space_group_name_H-M_alt 'P 1'
_space_group_IT_number 1
_cell_length_a 5.074
_cell_length_b 5.074
_cell_length_c 4.194
_cell_angle_alpha 90.00
_cell_angle_beta 90.00
_cell_angle_gamma 90.00
loop_
_space_group_symop_operation_xyz
'x,y,z'
loop_
_atom_site_label
_atom_site_type_symbol
_atom_site_fract_x
_atom_site_fract_y
_atom_site_fract_z
Mn1 Mn 0.000 0.000 0.000
Tl1 Tl 0.000 0.500 0.000
Tl2 Tl 0.500 0.000 0.000
Mo1 Mo 0.000 0.000 0.500
F1 F 0.500 0.500 0.500



# CsCa3Hf (PBEsol, relaxed)
# Formation enthalpy at 0 K: 0.81 eV per atom
# Mass density: 2.94 g cm⁻³
# Volume: 48.77 Å³/atom
data_CsCa3Hf
_chemical_formula_sum 'Cs1 Ca3 Hf1'
_space_group_name_H-M_alt 'P 1'
_space_group_IT_number 1
_cell_length_a 6.248
_cell_length_b 6.248
_cell_length_c 6.248
_cell_angle_alpha 90.00
_cell_angle_beta 90.00
_cell_angle_gamma 90.00
loop_
_space_group_symop_operation_xyz
'x,y,z'
loop_
_atom_site_label
_atom_site_type_symbol
_atom_site_fract_x
_atom_site_fract_y
_atom_site_fract_z
Cs1 Cs 0.000 0.000 0.000
Ca1 Ca 0.000 0.500 0.500
Ca2 Ca 0.500 0.000 0.500
Ca3 Ca 0.500 0.500 0.000
Hf1 Hf 0.500 0.500 0.500



# TcHgSe4 (PBEsol, relaxed)
# Raw formation energy: 946 meV per atom
# Mass density: 8.08 g cm⁻³
# Volume: 21.04 Å³/atom
data_TcHgSe4
_chemical_formula_sum 'Tc1 Hg1 Se4'
_space_group_name_H-M_alt 'P 1'
_space_group_IT_number 1
_cell_length_a 5.631
_cell_length_b 5.631
_cell_length_c 5.631
_cell_angle_alpha 60.00
_cell_angle_beta 60.00
_cell_angle_gamma 60.00
loop_
_space_group_symop_operation_xyz
'x,y,z'
loop_
_atom_site_label
_atom_site_type_symbol
_atom_site_fract_x
_atom_site_fract_y
_atom_site_fract_z
Tc1 Tc 0.000 0.000 0.000
Hg1 Hg 0.750 0.750 0.750
Se1 Se 0.375 0.375 0.375
Se2 Se 0.375 0.375 0.876
Se3 Se 0.375 0.876 0.375
Se4 Se 0.876 0.375 0.375



# LaBe2Tl (PBEsol, relaxed)
# Formation enthalpy at 0 K: 0.21 eV per atom
# Mass density: 8.05 g cm⁻³
# Volume: 18.62 Å³/atom
data_LaBe2Tl
_chemical_formula_sum 'La1 Be2 Tl1'
_space_group_name_H-M_alt 'P 1'
_space_group_IT_number 1
_cell_length_a 4.723
_cell_length_b 4.723
_cell_length_c 4.723
_cell_angle_alpha 60.00
_cell_angle_beta 60.00
_cell_angle_gamma 60.00
loop_
_space_group_symop_operation_xyz
'x,y,z'
loop_
_atom_site_label
_atom_site_type_symbol
_atom_site_fract_x
_atom_site_fract_y
_atom_site_fract_z
La1 La 0.000 0.000 0.000
Be1 Be 0.250 0.250 0.250
Be2 Be 0.750 0.750 0.750
Tl1 Tl 0.500 0.500 0.500



# La4AgPb (PBEsol, relaxed)
# Formation enthalpy at 0 K: 0.17 eV per atom
# Mass density: 8.00 g cm⁻³
# Volume: 30.12 Å³/atom
data_La4AgPb
_chemical_formula_sum 'La4 Ag1 Pb1'
_space_group_name_H-M_alt 'P 1'
_space_group_IT_number 1
_cell_length_a 6.346
_cell_length_b 6.346
_cell_length_c 6.346
_cell_angle_alpha 60.00
_cell_angle_beta 60.00
_cell_angle_gamma 60.00
loop_
_space_group_symop_operation_xyz
'x,y,z'
loop_
_atom_site_label
_atom_site_type_symbol
_atom_site_fract_x
_atom_site_fract_y
_atom_site_fract_z
La1 La 0.123 0.123 0.123
La2 La 0.123 0.123 0.630
La3 La 0.123 0.630 0.123
La4 La 0.630 0.123 0.123
Ag1 Ag 0.500 0.500 0.500
Pb1 Pb 0.750 0.750 0.750



# ZnOsCl3 (PBEsol, relaxed)
# Raw formation energy: 820 meV per atom
# Mass density: 5.60 g cm⁻³
# Volume: 21.45 Å³/atom
data_ZnOsCl3
_chemical_formula_sum 'Zn1 Os1 Cl3'
_space_group_name_H-M_alt 'P 1'
_space_group_IT_number 1
_cell_length_a 4.751
_cell_length_b 4.751
_cell_length_c 4.751
_cell_angle_alpha 90.00
_cell_angle_beta 90.00
_cell_angle_gamma 90.00
loop_
_space_group_symop_operation_xyz
'x,y,z'
loop_
_atom_site_label
_atom_site_type_symbol
_atom_site_fract_x
_atom_site_fract_y
_atom_site_fract_z
Zn1 Zn 0.000 0.000 0.000
Os1 Os 0.500 0.500 0.500
Cl1 Cl 0.000 0.000 0.500
Cl2 Cl 0.000 0.500 0.000
Cl3 Cl 0.500 0.000 0.000



# LiIn2Ag (PBEsol, relaxed)
# Formation enthalpy at 0 K: -0.18 eV per atom
# Mass density: 7.39 g cm⁻³
# Volume: 19.36 Å³/atom
data_LiIn2Ag
_chemical_formula_sum 'Li1 In2 Ag1'
_space_group_name_H-M_alt 'P 1'
_space_group_IT_number 1
_cell_length_a 3.061
_cell_length_b 4.774
_cell_length_c 5.298
_cell_angle_alpha 90.00
_cell_angle_beta 90.00
_cell_angle_gamma 90.00
loop_
_space_group_symop_operation_xyz
'x,y,z'
loop_
_atom_site_label
_atom_site_type_symbol
_atom_site_fract_x
_atom_site_fract_y
_atom_site_fract_z
Li1 Li 0.000 0.000 0.000
In1 In 0.500 0.000 0.510
In2 In 0.500 0.500 0.157
Ag1 Ag 0.000 0.500 0.688



# AlCd2P (PBEsol, relaxed)
# Formation enthalpy at 0 K: 0.18 eV per atom
# Mass density: 6.05 g cm⁻³
# Volume: 19.39 Å³/atom
data_AlCd2P
_chemical_formula_sum 'Al1 Cd2 P1'
_space_group_name_H-M_alt 'P 1'
_space_group_IT_number 1
_cell_length_a 5.296
_cell_length_b 5.296
_cell_length_c 5.296
_cell_angle_alpha 140.85
_cell_angle_beta 122.51
_cell_angle_gamma 71.77
loop_
_space_group_symop_operation_xyz
'x,y,z'
loop_
_atom_site_label
_atom_site_type_symbol
_atom_site_fract_x
_atom_site_fract_y
_atom_site_fract_z
Al1 Al 0.000 0.000 0.000
Cd1 Cd 0.270 0.770 0.500
Cd2 Cd 0.553 0.553 0.000
P1 P 0.812 0.312 0.500



# Tm2Ga3Cu (PBEsol, relaxed)
# Formation enthalpy at 0 K: -0.63 eV per atom
# Mass density: 9.19 g cm⁻³
# Volume: 18.40 Å³/atom
data_Tm2Ga3Cu
_chemical_formula_sum 'Tm2 Ga3 Cu1'
_space_group_name_H-M_alt 'P 1'
_space_group_IT_number 1
_cell_length_a 4.281
_cell_length_b 4.281
_cell_length_c 6.954
_cell_angle_alpha 90.00
_cell_angle_beta 90.00
_cell_angle_gamma 120.00
loop_
_space_group_symop_operation_xyz
'x,y,z'
loop_
_atom_site_label
_atom_site_type_symbol
_atom_site_fract_x
_atom_site_fract_y
_atom_site_fract_z
Tm1 Tm 0.000 0.000 0.000
Tm2 Tm 0.000 0.000 0.471
Ga1 Ga 0.333 0.667 0.783
Ga2 Ga 0.667 0.333 0.253
Ga3 Ga 0.667 0.333 0.689
Cu1 Cu 0.333 0.667 0.196



# ThNCl (PBEsol, relaxed)
# Raw formation energy: -2203 meV per atom
# Mass density: 8.28 g cm⁻³
# Volume: 18.81 Å³/atom
data_ThNCl
_chemical_formula_sum 'Th2 N2 Cl2'
_space_group_name_H-M_alt 'P 1'
_space_group_IT_number 1
_cell_length_a 4.049
_cell_length_b 4.049
_cell_length_c 6.884
_cell_angle_alpha 90.00
_cell_angle_beta 90.00
_cell_angle_gamma 90.00
loop_
_space_group_symop_operation_xyz
'x,y,z'
loop_
_atom_site_label
_atom_site_type_symbol
_atom_site_fract_x
_atom_site_fract_y
_atom_site_fract_z
Th1 Th 0.250 0.250 0.168
Th2 Th 0.750 0.750 0.832
N1 N 0.250 0.750 0.000
N2 N 0.750 0.250 0.000
Cl1 Cl 0.250 0.250 0.622
Cl2 Cl 0.750 0.750 0.378



# Ca5In (PBEsol, relaxed)
# Formation enthalpy at 0 K: -0.16 eV per atom
# Mass density: 2.46 g cm⁻³
# Volume: 35.48 Å³/atom
data_Ca5In
_chemical_formula_sum 'Ca5 In1'
_space_group_name_H-M_alt 'P 1'
_space_group_IT_number 1
_cell_length_a 6.951
_cell_length_b 6.951
_cell_length_c 8.303
_cell_angle_alpha 107.88
_cell_angle_beta 107.88
_cell_angle_gamma 34.09
loop_
_space_group_symop_operation_xyz
'x,y,z'
loop_
_atom_site_label
_atom_site_type_symbol
_atom_site_fract_x
_atom_site_fract_y
_atom_site_fract_z
Ca1 Ca 0.000 0.000 0.000
Ca2 Ca 0.019 0.019 0.444
Ca3 Ca 0.357 0.357 0.645
Ca4 Ca 0.695 0.695 0.844
Ca5 Ca 0.715 0.715 0.289
In1 In 0.357 0.357 0.143



# PdAu2F2 (PBEsol, relaxed)
# Raw formation energy: 160 meV per atom
# Mass density: 11.65 g cm⁻³
# Volume: 15.35 Å³/atom
data_PdAu2F2
_chemical_formula_sum 'Pd1 Au2 F2'
_space_group_name_H-M_alt 'P 1'
_space_group_IT_number 1
_cell_length_a 6.065
_cell_length_b 6.065
_cell_length_c 6.065
_cell_angle_alpha 143.97
_cell_angle_beta 143.97
_cell_angle_gamma 51.87
loop_
_space_group_symop_operation_xyz
'x,y,z'
loop_
_atom_site_label
_atom_site_type_symbol
_atom_site_fract_x
_atom_site_fract_y
_atom_site_fract_z
Pd1 Pd 0.000 0.000 0.000
Au1 Au 0.250 0.750 0.500
Au2 Au 0.750 0.250 0.500
F1 F 0.399 0.399 0.000
F2 F 0.601 0.601 0.000



# YHfAu3 (PBEsol, relaxed)
# Formation enthalpy at 0 K: 0.82 eV per atom
# Mass density: 11.08 g cm⁻³
# Volume: 25.72 Å³/atom
data_YHfAu3
_chemical_formula_sum 'Y1 Hf1 Au3'
_space_group_name_H-M_alt 'P 1'
_space_group_IT_number 1
_cell_length_a 5.047
_cell_length_b 5.047
_cell_length_c 5.047
_cell_angle_alpha 90.00
_cell_angle_beta 90.00
_cell_angle_gamma 90.00
loop_
_space_group_symop_operation_xyz
'x,y,z'
loop_
_atom_site_label
_atom_site_type_symbol
_atom_site_fract_x
_atom_site_fract_y
_atom_site_fract_z
Y1 Y 0.000 0.000 0.000
Hf1 Hf 0.500 0.500 0.500
Au1 Au 0.000 0.000 0.500
Au2 Au 0.000 0.500 0.000
Au3 Au 0.500 0.000 0.000